[1]
Density functional theory data (PBE-GGA) for crystalline PrPa2P3 at its relaxed geometry.

Summary:
Energy of formation: -1.37 eV per atom
Uncorrected energy: -96.49 eV for the cell shown
SG: No. 194
Volume: 140 Å³/f.u.

Unit cell a=4.0084 b=4.0084 c=20.0731 alpha=90.00 beta=90.00 gamma=120.00
With the nearest neighbours (Å) after each atom.
Fractional positions:
Pr  0.0000  0.0000  0.2500  6 P 2.95
Pr  0.0000  0.0000  0.7500  6 P 2.95
Pa  0.3333  0.6667  0.9205  6 P 2.81
Pa  0.6667  0.3333  0.0795  6 P 2.81
Pa  0.6667  0.3333  0.4205  6 P 2.81
Pa  0.3333  0.6667  0.5795  6 P 2.81
P  0.0000  0.0000  0.0000  6 Pa 2.81
P  0.3333  0.6667  0.1586  3 Pa 2.81, 3 Pr 2.95
P  0.3333  0.6667  0.3414  3 Pa 2.81, 3 Pr 2.95
P  0.0000  0.0000  0.5000  6 Pa 2.81
P  0.6667  0.3333  0.6586  3 Pa 2.81, 3 Pr 2.95
P  0.6667  0.3333  0.8414  3 Pa 2.81, 3 Pr 2.95

---

[2]
Density functional theory data (PBE-GGA) for crystalline PrPaP2 at its relaxed geometry.

Summary:
Energy of formation: -1.27 eV per atom
Uncorrected energy: -30.19 eV for the cell shown
SG: No. 160
Distance to the lowest polymorph of the same formula: 0.145 eV per atom
Volume: 97 Å³/f.u.

Unit cell a=4.0091 b=4.0091 c=7.3699 alpha=74.22 beta=74.22 gamma=60.00
With the nearest neighbours (Å) after each atom.
Fractional positions:
Pr  0.4941  0.4941  0.5178  6 P 2.91-3.09
Pa  0.6709  0.6709  0.9873  6 P 2.77-2.85
P  0.0768  0.0768  0.7696  3 Pa 2.77, 3 Pr 2.91
P  0.2582  0.2582  0.2253  3 Pa 2.85, 3 Pr 3.09

---

[3]
Density functional theory data (PBE-GGA) for crystalline PrPaP at its relaxed geometry.

Summary:
Energy of formation: -0.57 eV per atom
Uncorrected energy: -21.39 eV for the cell shown
SG: No. 156
Distance to the lowest polymorph of the same formula: 0.084 eV per atom
Volume: 84 Å³/f.u.

Unit cell a=6.5922 b=3.8401 c=3.8401 alpha=120.00 beta=90.00 gamma=90.00
With the nearest neighbours (Å) after each atom.
Fractional positions:
Pr  0.6014  0.6667  0.3333  3 P 2.88
P  0.3232  0.3333  0.6667  3 Pa 2.75, 3 Pr 2.88
Pa  0.0754  0.0000  0.0000  3 P 2.75